A geometry-optimized PuScAl2Au4 structure. Source: Alexandria, functional PBE.

## Properties
total energy	-5.707	eV/atom
energy of formation	-4.40	eV/f.u.

CIF file:
```
data_PuScAl2Au4
_chemical_formula_sum 'Pu3 Sc3 Al6 Au12'
_cell_length_a 4.6183
_cell_length_b 4.6183
_cell_length_c 25.3577
_cell_angle_alpha 90.00
_cell_angle_beta 90.00
_cell_angle_gamma 120.00
_symmetry_space_group_name_H-M 'R -3 m'
_symmetry_Int_Tables_number 166
_symmetry_space_group_name_Hall '-R 3 2"'
loop_
_atom_site_label
_atom_site_type_symbol
_atom_site_fract_x
_atom_site_fract_y
_atom_site_fract_z
Pu1 Pu 0.0000 0.0000 0.0000
Sc1 Sc 0.0000 0.0000 0.5000
Al1 Al 0.0000 0.0000 0.2437
Au1 Au 0.0000 0.0000 0.1282
Au2 Au 0.0000 0.0000 0.3908
```

---

A geometry-optimized PuScAlAu structure. Source: Alexandria, functional PBE.

## Properties
total energy	-7.247	eV/atom
energy of formation	-1.31	eV/f.u.

CIF file:
```
data_PuScAlAu
_chemical_formula_sum 'Pu4 Sc4 Al4 Au4'
_cell_length_a 7.066
_cell_length_b 7.066
_cell_length_c 7.066
_cell_angle_alpha 90.00
_cell_angle_beta 90.00
_cell_angle_gamma 90.00
_symmetry_space_group_name_H-M 'F -4 3 m'
_symmetry_Int_Tables_number 216
_symmetry_space_group_name_Hall 'F -4 2 3'
loop_
_atom_site_label
_atom_site_type_symbol
_atom_site_fract_x
_atom_site_fract_y
_atom_site_fract_z
Pu1 Pu 0.000 0.000 0.000
Sc1 Sc 0.000 0.000 0.500
Al1 Al 0.250 0.250 0.250
Au1 Au 0.250 0.250 0.750
```